1.
The following is a PBE calculation of an optimized crystal structure of PrTm2Bi, from Alexandria via LeMat-Bulk.

The structure in extended XYZ format:
```
8
Lattice="-2.340 -2.251 2.622 3.511 -4.156 -3.754 7.123 0.154 6.490" Properties=species:S:1:pos:R:3 pbc="T T T"
Pr 2.706 -5.814 0.747
Pr 5.588 -0.437 4.612
Tm 5.558 -3.777 1.719
Tm 2.735 -2.475 3.640
Tm 8.549 -3.712 4.444
Tm -0.256 -2.540 0.914
Bi 5.407 -3.795 4.890
Bi 2.886 -2.456 0.469
```

## Properties
Space-group type: Cmcm, No. 63
Crystal system: orthorhombic

***

2.
The following is a PBE calculation of an optimized crystal structure of Pr2TmBi2, from Alexandria via LeMat-Bulk.

The structure in extended XYZ format:
```
10
Lattice="-2.430 5.921 -1.249 -5.299 -0.734 6.830 8.180 -0.059 0.830" Properties=species:S:1:pos:R:3 pbc="T T T"
Pr -0.072 4.473 4.321
Pr 0.523 0.656 2.090
Pr 0.860 3.831 -0.534
Pr -0.409 1.297 6.946
Tm -4.472 4.074 2.479
Tm -3.257 1.113 3.103
Bi 1.927 1.786 4.720
Bi -1.476 3.342 1.691
Bi -3.178 -0.023 6.075
Bi 3.629 5.151 0.336
```

## Properties
Space-group type: Ibam, No. 72
Crystal system: orthorhombic

***

3.
The following is a PBE calculation of an optimized crystal structure of PrTmBi, from Alexandria via LeMat-Bulk.

The structure in extended XYZ format:
```
6
Lattice="-4.526 -0.910 0.074 0.248 -1.584 -4.328 1.685 -8.131 3.072" Properties=species:S:1:pos:R:3 pbc="T T T"
Pr -1.902 -7.980 1.581
Pr -0.690 -2.645 -2.763
Tm -0.227 -4.689 0.473
Tm -2.366 -5.936 -1.654
Bi -2.946 -2.942 -0.323
Bi 0.353 -7.683 -0.859
```

## Properties
Space-group type: P4/nmm, No. 129
Crystal system: tetragonal

***

4.
The following is a PBE calculation of an optimized crystal structure of Pr3Tm5Bi8, from Alexandria via LeMat-Bulk.

The structure in extended XYZ format:
```
16
Lattice="-1.082 -1.721 8.801 -2.384 -8.276 2.724 5.946 -5.212 4.347" Properties=species:S:1:pos:R:3 pbc="T T T"
Pr 2.432 -3.467 6.574
Pr 2.973 -2.606 2.174
Pr 1.781 -6.744 3.536
Tm -0.541 -0.861 4.401
Tm -1.733 -4.999 5.763
Tm 0.000 0.000 0.000
Tm -1.192 -4.138 1.362
Tm 1.240 -7.605 7.936
Bi 3.649 -6.458 6.183
Bi 2.480 -10.517 7.519
Bi 3.119 -7.302 10.500
Bi 1.960 -11.433 11.912
Bi -1.170 -8.751 9.690
Bi 0.000 -4.692 8.353
Bi -0.639 -7.907 5.372
Bi 0.520 -3.776 3.961
```

## Properties
Space-group type: R-3m, No. 166
Crystal system: trigonal

***

5.
The following is a PBE calculation of an optimized crystal structure of PrTm3Bi4, from Alexandria via LeMat-Bulk.

The structure in extended XYZ format:
```
8
Lattice="-1.933 3.705 -1.652 -1.765 -3.831 -6.526 -6.990 -3.313 0.748" Properties=species:S:1:pos:R:3 pbc="T T T"
Pr -8.839 -3.376 -3.343
Tm -4.461 0.196 -0.453
Tm -8.922 0.391 -0.905
Tm -6.310 0.133 -4.542
Bi -8.450 -1.658 -6.056
Bi -4.080 -1.883 -5.562
Bi -4.171 1.923 -3.029
Bi -6.608 -1.557 -1.870
```

## Properties
Space-group type: Cmmm, No. 65
Crystal system: orthorhombic

***

6.
The following is a PBE calculation of an optimized crystal structure of Pr3TmBi4, from Alexandria via LeMat-Bulk.

The structure in extended XYZ format:
```
8
Lattice="4.596 0.000 0.000 0.000 7.952 -0.078 0.000 -2.581 7.521" Properties=species:S:1:pos:R:3 pbc="T T T"
Pr 0.000 -1.291 3.761
Pr 2.298 2.685 3.722
Pr 0.000 3.976 -0.039
Tm 2.298 0.000 0.000
Bi 0.000 1.292 1.791
Bi 2.298 5.368 1.786
Bi 0.000 4.078 5.652
Bi 2.298 0.003 5.657
```

## Properties
Space-group type: Cmmm, No. 65
Crystal system: orthorhombic

***

7.
The following is a PBE calculation of an optimized crystal structure of Pr2TmBi3, from Alexandria via LeMat-Bulk.

The structure in extended XYZ format:
```
6
Lattice="-3.467 -1.578 -2.535 0.579 -5.806 2.821 -2.986 5.612 4.720" Properties=species:S:1:pos:R:3 pbc="T T T"
Pr -2.885 -5.226 1.003
Pr -2.989 3.454 4.002
Tm -2.937 -0.886 2.503
Bi -3.261 -2.285 -0.312
Bi -2.612 0.514 5.317
Bi -3.226 2.017 1.092
```

## Properties
Space-group type: Immm, No. 71
Crystal system: orthorhombic

***

8.
The following is a PBE calculation of an optimized crystal structure of PrTm2Bi3, from Alexandria via LeMat-Bulk.

The structure in extended XYZ format:
```
12
Lattice="7.702 -0.029 -1.289 -4.154 6.486 -1.289 -0.017 -0.031 7.795" Properties=species:S:1:pos:R:3 pbc="T T T"
Pr 7.687 -0.020 -1.289
Pr 3.765 2.135 -1.289
Tm 5.717 1.042 2.609
Tm -0.202 4.314 -1.289
Tm -2.233 5.410 2.609
Tm 1.812 3.187 2.609
Bi 0.628 5.824 3.853
Bi -1.049 2.773 1.365
Bi 4.676 3.719 3.845
Bi 0.835 1.626 5.134
Bi 2.898 0.485 1.373
Bi 2.606 4.850 0.084
```

## Properties
Space-group type: C2/m, No. 12
Crystal system: monoclinic

***

Number 1: energy relative to the elements -0.3865 eV/atom. Number 2: energy relative to the elements -0.6136 eV/atom. Number 3: energy relative to the elements -0.6441 eV/atom. Number 4: energy relative to the elements -0.8385 eV/atom. Number 5: energy relative to the elements -0.8163 eV/atom. Number 6: energy relative to the elements -0.9057 eV/atom. Number 7: energy relative to the elements -0.8876 eV/atom. Number 8: energy relative to the elements -0.8328 eV/atom.